No. 1
TlMo2P GGA-PBE relaxed; symmetry = Cmm2, No. 35; energy above the lowest structure with this stoichiometry = 0.296 eV/atom; formation energy from the elements = 0.39 eV per atom; total DFT energy (no corrections) = -6.9657 eV per atom
1.0
-2.2903 1.6938 0.4211
-0.2099 -2.3019 1.7173
4.9427 4.9004 7.1726
Tl Mo P
1 2 1
direct
0.5000 0.5000 0.2227
0.0000 0.0000 0.9579
0.5000 0.5000 0.7500
0.0000 0.0000 0.5694

---

No. 2
Tl4MoP GGA-PBE relaxed; symmetry = F-43m, No. 216; formation energy from the elements = 1.07 eV per atom; total DFT energy (no corrections) = -3.2125 eV per atom
1.0
0.0000 4.3912 4.3912
4.3912 0.0000 4.3912
4.3912 4.3912 0.0000
Tl Mo P
4 1 1
direct
0.8758 0.3747 0.3747
0.3747 0.3747 0.8758
0.3747 0.8758 0.3747
0.3747 0.3747 0.3747
0.7500 0.7500 0.7500
0.0000 0.0000 0.0000

---

No. 3
Tl2MoP GGA-PBE relaxed; symmetry = Amm2, No. 38; energy above the lowest structure with this stoichiometry = 0.199 eV/atom; formation energy from the elements = 0.27 eV per atom; total DFT energy (no corrections) = -4.9708 eV per atom
1.0
2.3826 -5.4934 0.0000
2.3826 5.4934 0.0000
0.0000 0.0000 3.3246
Tl Mo P
2 1 1
direct
0.0263 0.9737 0.0000
0.7287 0.2713 0.5000
0.2962 0.7038 0.0000
0.4482 0.5518 0.5000